DFT (GGA-PBE) results for Re2Si2Au after structural relaxation.

Cell: 7.252 7.252 2.803 Å, 90.00 90.00 90.00°
Positions (direct):
Re1 0.349 0.151 0.500
Si1 0.356 0.856 0.000
Si2 0.644 0.144 0.000
Au1 0.500 0.500 0.000
Re2 0.151 0.651 0.500
Au2 0.000 0.000 0.000
Re3 0.849 0.349 0.500
Re4 0.651 0.849 0.500
Si3 0.856 0.644 0.000
Si4 0.144 0.356 0.000

Properties
energy relative to the elements, uncorrected: 106 meV per atom
total energy: -7.70 eV/atom



DFT (GGA-PBE) results for ReSiAu3 after structural relaxation.

Cell: 4.695 4.695 4.695 Å, 90.00 90.00 90.00°
Last column: magnetic moment on the atom in μB.
Positions (direct):
Re1 0.500 0.500 0.500  3.31
Si1 0.000 0.000 0.000  0.06
Au1 0.000 0.500 0.000  0.00
Au2 0.000 0.000 0.500  0.05
Au3 0.500 0.000 0.000  0.01

Properties
energy relative to the elements, uncorrected: 1181 meV per atom
total energy: -4.36 eV/atom



DFT (GGA-PBE) results for ReSiAu3 after structural relaxation.

Cell: 5.015 5.015 5.015 Å, 90.00 90.00 90.00°
Positions (direct):
Au1 0.500 0.000 0.000
Re1 0.000 0.000 0.000
Au2 0.000 0.500 0.000
Si1 0.500 0.500 0.500
Au3 0.000 0.000 0.500

Properties
energy relative to the elements, uncorrected: 1528 meV per atom
total energy: -4.01 eV/atom



DFT (GGA-PBE) results for ReSi2Au2 after structural relaxation.

Cell: 7.253 7.253 7.253 Å, 151.50 151.50 40.74°
Positions (direct):
Si1 0.409 0.409 0.000
Si2 0.591 0.591 0.000
Au1 0.250 0.750 0.500
Au2 0.750 0.250 0.500
Re1 0.000 0.000 0.000

Properties
energy relative to the elements, uncorrected: 730 meV per atom
total energy: -5.24 eV/atom



DFT (GGA-PBE) results for ReSnAu2 after structural relaxation.

Cell: 3.933 3.933 10.545 Å, 79.25 79.25 90.00°
Last column: magnetic moment on the atom in μB.
Positions (direct):
Au1 0.375 0.367 0.750  0.02
Sn1 0.500 0.500 0.000  -0.04
Re1 0.000 0.000 0.000  1.26
Au2 0.633 0.125 0.250  0.02
Re2 0.750 0.250 0.500  1.25
Au3 0.875 0.883 0.750  0.02
Sn2 0.250 0.750 0.500  -0.04
Au4 0.117 0.625 0.250  0.02

Properties
total energy: -5.10 eV/atom



DFT (GGA-PBE) results for Re2Sn2Au after structural relaxation.

Cell: 7.222 7.222 3.616 Å, 90.00 90.00 90.00°
Positions (direct):
Sn1 0.335 0.165 0.500
Sn2 0.835 0.335 0.500
Sn3 0.165 0.665 0.500
Re1 0.132 0.368 0.000
Re2 0.368 0.868 0.000
Re3 0.632 0.132 0.000
Sn4 0.665 0.835 0.500
Au1 0.500 0.500 0.000
Re4 0.868 0.632 0.000
Au2 0.000 0.000 0.000

Properties
total energy: -6.76 eV/atom



DFT (GGA-PBE) results for ReSn3Au after structural relaxation.

Cell: 5.283 5.283 5.283 Å, 90.00 90.00 90.00°
Last column: magnetic moment on the atom in μB.
Positions (direct):
Sn1 0.500 0.000 0.000  -0.05
Sn2 0.000 0.000 0.500  -0.06
Sn3 0.000 0.500 0.000  -0.07
Re1 0.500 0.500 0.500  3.18
Au1 0.000 0.000 0.000  -0.04

Properties
total energy: -4.18 eV/atom



DFT (GGA-PBE) results for Re2Sn2Au after structural relaxation.

Cell: 4.084 4.084 6.791 Å, 72.50 72.50 90.00°
Last column: magnetic moment on the atom in μB.
Positions (direct):
Sn1 0.750 0.250 0.500  0.00
Sn2 0.250 0.750 0.500  0.00
Re1 0.404 0.404 0.192  0.12
Au1 0.000 0.000 0.000  0.01
Re2 0.596 0.596 0.808  0.12

Properties
total energy: -6.33 eV/atom